# 1
The following is a SCAN calculation of a crystal of La2ZrAl relaxed with PBEsol, from Alexandria via LeMat-Bulk.

Output
As for the volume: 104.8 Å³/cell. The calculation puts the energy relative to the elements at -7 meV/atom. The total energy comes out at -31.172 eV per atom.

a = 3.4028 Å, b = 4.5082 Å, c = 6.8324 Å
α = 90.00°, β = 90.00°, γ = 90.00°
Closest atoms and distances in Å follow each position.
Fractional coordinates of all 4 atoms:
1 Al 0.5000 0.5000 0.5000  8 La 3.24, 2 Al 3.40, 2 Zr 3.42
2 Zr 0.5000 0.5000 0.0000  8 La 3.37, 2 Zr 3.40, 2 Al 3.42
3 La 0.0000 0.0000 0.7312  3 La 3.16-3.40, 4 Al 3.24, 4 Zr 3.37
4 La 0.0000 0.0000 0.2688  3 La 3.16-3.40, 4 Al 3.24, 4 Zr 3.37

# 2
The following is a SCAN calculation of a crystal of Be3Ru relaxed with PBEsol, from Alexandria via LeMat-Bulk.

Output
As for the volume: 37.2 Å³/cell. The calculation puts the energy relative to the elements at -322 meV/atom. The total energy comes out at -12.294 eV per atom.

a = 3.7455 Å, b = 3.7455 Å, c = 3.7455 Å
α = 60.00°, β = 60.00°, γ = 60.00°
Closest atoms and distances in Å follow each position.
Fractional coordinates of all 4 atoms:
1 Be 0.5000 0.5000 0.5000  8 Be 2.29
2 Be 0.7500 0.7500 0.7500  4 Be 2.29, 4 Ru 2.29
3 Ru 0.0000 0.0000 0.0000  8 Be 2.29
4 Be 0.2500 0.2500 0.2500  4 Ru 2.29, 4 Be 2.29

# 3
The following is a SCAN calculation of a crystal of Ca3MgAu relaxed with PBEsol, from Alexandria via LeMat-Bulk.

Output
As for the volume: 194.3 Å³/cell. The calculation puts the energy relative to the elements at 434 meV/atom. The total energy comes out at -20.190 eV per atom.

a = 5.7917 Å, b = 5.7917 Å, c = 5.7917 Å
α = 90.00°, β = 90.00°, γ = 90.00°
Closest atoms and distances in Å follow each position.
Fractional coordinates of all 5 atoms:
1 Ca 0.0000 0.5000 0.0000  2 Mg 2.90
2 Ca 0.5000 0.0000 0.0000  2 Mg 2.90
3 Ca 0.0000 0.0000 0.5000  2 Mg 2.90
4 Mg 0.0000 0.0000 0.0000  6 Ca 2.90
5 Au 0.5000 0.5000 0.5000  12 Ca 4.10

# 4
The following is a SCAN calculation of a crystal of SrZrSe2 relaxed with PBEsol, from Alexandria via LeMat-Bulk.

Output
The uncorrected formation energy is -1.342 eV per atom. As for the energy above the lowest structure with this stoichiometry: 145.8 meV per atom. As for the volume: 97.1 Å³/cell. The total energy comes out at -24.625 eV per atom.

a = 3.8566 Å, b = 4.1912 Å, c = 6.3067 Å
α = 90.00°, β = 107.80°, γ = 90.00°
Closest atoms and distances in Å follow each position.
Fractional coordinates of all 4 atoms:
1 Zr 0.7738 0.0000 0.5477  5 Se 2.64-2.88
2 Se 0.9938 0.0000 0.9877  1 Zr 2.64, 4 Sr 2.85
3 Se 0.2393 0.5000 0.4786  4 Zr 2.88, 1 Sr 3.05
4 Sr 0.4930 0.5000 0.9861  5 Se 2.85-3.05

# 5
The following is a SCAN calculation of a crystal of TlCuHg2 relaxed with PBEsol, from Alexandria via LeMat-Bulk.

Output
As for the volume: 87.8 Å³/cell. The calculation puts the energy relative to the elements at 122 meV/atom. The total energy comes out at -55.851 eV per atom.

a = 3.1097 Å, b = 4.3167 Å, c = 7.0615 Å
α = 107.80°, β = 102.72°, γ = 90.00°
Closest atoms and distances in Å follow each position.
Fractional coordinates of all 4 atoms:
1 Hg 0.0713 0.0713 0.1426  2 Cu 2.75
2 Tl 0.4359 0.4359 0.8717  2 Cu 2.94, 2 Tl 3.11, 6 Hg 3.20-3.27
3 Cu 0.7447 0.2447 0.4895  6 Hg 2.66-2.75, 2 Tl 2.94
4 Hg 0.2481 0.7481 0.4962  4 Cu 2.66

# 6
The following is a SCAN calculation of a crystal of Cd2PbAu relaxed with PBEsol, from Alexandria via LeMat-Bulk.

Output
As for the volume: 88.5 Å³/cell. The calculation puts the energy relative to the elements at -71 meV/atom. The total energy comes out at -51.512 eV per atom.

a = 3.3022 Å, b = 3.3049 Å, c = 8.1057 Å
α = 90.00°, β = 90.00°, γ = 90.00°
Closest atoms and distances in Å follow each position.
Fractional coordinates of all 4 atoms:
1 Au 0.5000 0.5000 0.5000  8 Cd 2.87
2 Cd 0.0000 0.0000 0.2946  4 Au 2.87
3 Pb 0.5000 0.5000 0.0000  4 Pb 3.30, 8 Cd 3.34
4 Cd 0.0000 0.0000 0.7054  4 Au 2.87

- Which formula does entry 4 have?
  SrZrSe2